Record 1
The following is a DFT calculation (PBE-GGA) of crystalline CoCuGe at its relaxed geometry.

Properties
**Energy of formation**: 2.8 kJ per mole of atoms
**Total moment**: 0.0 μB per formula unit
**Symmetry**: P3m1, No. 156
**N(E_F)**: 1.5 states/eV per cell

Cell: 3.969 3.969 2.784 Å, 90.00 90.00 120.00°
Element x y z (fractional)
Co: 0.000 0.000 0.000
Cu: 0.667 0.333 0.470
Ge: 0.333 0.667 0.817

***

Record 2
The following is a DFT calculation (PBE-GGA) of crystalline NdAs2Ru at its relaxed geometry.

Properties
**Polymorph energy (0 for the lowest one)**: 0 meV/atom
**Energy of formation**: -81.9 kJ per mole of atoms
**Total moment**: 0.0 μB per formula unit
**Symmetry**: P4/nmm, No. 129
**N(E_F)**: 4.4 states/eV per cell

Cell: 4.119 4.119 9.885 Å, 90.00 90.00 90.00°
Element x y z (fractional)
Nd: 0.250 0.250 0.235
Nd: 0.750 0.750 0.765
As: 0.250 0.250 0.636
As: 0.250 0.750 0.000
As: 0.750 0.250 0.000
As: 0.750 0.750 0.364
Ru: 0.250 0.750 0.500
Ru: 0.750 0.250 0.500

***

Record 3
The following is a DFT calculation (PBE-GGA) of crystalline HoSbAu2 at its relaxed geometry.

Properties
**Formation energy from raw total energies**: -0.572 eV/atom
**Total moment**: 0.0 μB per formula unit
**Symmetry**: P4/mmm, No. 123
**N(E_F)**: 1.6 states/eV per cell

Cell: 3.803 3.803 6.237 Å, 90.00 90.00 90.00°
Element x y z (fractional)
Ho: 0.000 0.000 0.000
Sb: 0.000 0.000 0.500
Au: 0.500 0.500 0.238
Au: 0.500 0.500 0.762

***

Record 4
The following is a DFT calculation (PBE-GGA) of crystalline SmGe4Os at its relaxed geometry.

Properties
**Energy of formation**: -22.1 kJ per mole of atoms
**Total moment**: 0.0 μB per formula unit
**Symmetry**: C2/c, No. 15
**N(E_F)**: 8.2 states/eV per cell

Cell: 6.477 6.477 6.788 Å, 93.56 93.56 59.19°
Element x y z (fractional)
Sm: 0.091 0.909 0.750
Sm: 0.909 0.091 0.250
Ge: 0.132 0.363 0.645
Ge: 0.317 0.586 0.088
Ge: 0.363 0.132 0.145
Ge: 0.414 0.683 0.412
Ge: 0.586 0.317 0.588
Ge: 0.637 0.868 0.855
Ge: 0.683 0.414 0.912
Ge: 0.868 0.637 0.355
Os: 0.000 0.500 0.000
Os: 0.500 0.000 0.500

***

Record 5
The following is a DFT calculation (PBE-GGA) of crystalline KVAsSe2 at its relaxed geometry.

Properties
**Polymorph energy (0 for the lowest one)**: 2080 meV/atom
**Formation energy from raw total energies**: 1.671 eV/atom
**Total moment**: 0.2 μB per formula unit
**Symmetry**: P4/mmm, No. 123
**N(E_F)**: 11.1 states/eV per cell

Cell: 5.476 5.476 5.210 Å, 90.00 90.00 90.00°
Element x y z (fractional)
K: 0.000 0.000 0.000
V: 0.500 0.500 0.500
As: 0.000 0.000 0.500
Se: 0.000 0.500 0.000
Se: 0.500 0.000 0.000

***

Record 6
The following is a DFT calculation (PBE-GGA) of crystalline NaSrGa2Pd at its relaxed geometry.

Properties
**Energy of formation**: -27.5 kJ per mole of atoms
**Total moment**: 0.0 μB per formula unit
**Symmetry**: P4/mmm, No. 123
**N(E_F)**: 3.6 states/eV per cell

Cell: 4.910 4.910 5.237 Å, 90.00 90.00 90.00°
Element x y z (fractional)
Na: 0.000 0.000 0.000
Sr: 0.500 0.500 0.000
Ga: 0.000 0.500 0.500
Ga: 0.500 0.000 0.500
Pd: 0.000 0.000 0.500

***

Record 7
The following is a DFT calculation (PBE-GGA) of crystalline SiTc3 at its relaxed geometry.

Properties
**Polymorph energy (0 for the lowest one)**: 7 meV/atom
**Formation energy from raw total energies**: -0.257 eV/atom
**Total moment**: 0.0 μB per formula unit
**Symmetry**: Cmcm, No. 63
**N(E_F)**: 7.0 states/eV per cell

Cell: 5.424 5.424 7.423 Å, 90.00 90.00 149.13°
Element x y z (fractional)
Si: 0.248 0.752 0.750
Si: 0.752 0.248 0.250
Tc: 0.124 0.876 0.044
Tc: 0.124 0.876 0.456
Tc: 0.455 0.545 0.250
Tc: 0.545 0.455 0.750
Tc: 0.876 0.124 0.544
Tc: 0.876 0.124 0.956

***

Record 8
The following is a DFT calculation (PBE-GGA) of crystalline ZrPd9Pt4 at its relaxed geometry.

Properties
**Energy of formation**: -7.9 kJ per mole of atoms
**Total moment**: 0.0 μB per formula unit
**Symmetry**: P6_3/mmc, No. 194
**N(E_F)**: 26.8 states/eV per cell

Cell: 7.855 7.855 8.771 Å, 90.00 90.00 120.00°
Element x y z (fractional)
Zr: 0.333 0.667 0.250
Zr: 0.667 0.333 0.750
Pd: 0.068 0.534 0.750
Pd: 0.209 0.417 0.025
Pd: 0.209 0.417 0.475
Pd: 0.209 0.791 0.025
Pd: 0.209 0.791 0.475
Pd: 0.417 0.209 0.525
Pd: 0.417 0.209 0.975
Pd: 0.466 0.534 0.750
Pd: 0.466 0.932 0.750
Pd: 0.534 0.068 0.250
Pd: 0.534 0.466 0.250
Pd: 0.583 0.791 0.025
Pd: 0.583 0.791 0.475
Pd: 0.791 0.209 0.525
Pd: 0.791 0.209 0.975
Pd: 0.791 0.583 0.525
Pd: 0.791 0.583 0.975
Pd: 0.932 0.466 0.250
Pt: 0.000 0.000 0.000
Pt: 0.000 0.000 0.500
Pt: 0.113 0.226 0.750
Pt: 0.113 0.887 0.750
Pt: 0.226 0.113 0.250
Pt: 0.774 0.887 0.750
Pt: 0.887 0.113 0.250
Pt: 0.887 0.774 0.250